A geometry-optimized Nb2Se4S structure. Source: the Alexandria database, functional PBE.

```
Nb2Se4S
1.0
4.9785 0.0000 0.0000
0.0000 4.9785 0.0000
2.4892 2.4892 7.6256
Nb S Se
2 1 4
direct
0.5933 0.5933 0.8133
0.4067 0.4067 0.1867
0.0000 0.0000 0.0000
0.5000 0.0000 0.0000
0.7451 0.7451 0.5098
0.0000 0.5000 0.0000
0.2549 0.2549 0.4902
```

Formation energy from raw total energies = 6.8 kcal/mol of atoms
Spin magnetization = 0.437 μB per atom
Space-group type = I4/mmm
DOS(E_F) = 4.6 states/eV/cell

A geometry-optimized Nb2Se2S structure. Source: the Alexandria database, functional PBE.

```
Nb2Se2S
1.0
-2.4323 0.4549 4.4987
-6.2025 -2.1160 -3.1395
2.4309 -10.6775 2.3940
S Nb Se
4 8 8
direct
0.7500 0.6905 0.9003
0.2500 0.3095 0.0997
0.7500 0.1905 0.5997
0.2500 0.8095 0.4003
0.7500 0.8177 0.1059
0.7500 0.3177 0.3941
0.7500 0.4076 0.7648
0.2500 0.1823 0.8941
0.2500 0.5924 0.2352
0.2500 0.6823 0.6059
0.7500 0.9076 0.7352
0.2500 0.0924 0.2648
0.2500 0.3769 0.4305
0.2500 0.4874 0.7945
0.2500 0.8769 0.0695
0.2500 0.9874 0.7055
0.7500 0.5126 0.2055
0.7500 0.1231 0.9305
0.7500 0.0126 0.2945
0.7500 0.6231 0.5695
```

Relative energy among the computed polymorphs = 0 meV per atom
Formation energy from raw total energies = -12.9 kcal/mol of atoms
Spin magnetization = 0.000 μB per atom
Space-group type = Pnma
DOS(E_F) = 14.8 states/eV/cell

A geometry-optimized NbSeS structure. Source: the Alexandria database, functional PBE.

```
NbSeS
1.0
3.4410 0.0000 0.0000
0.0000 5.7624 -1.4525
0.0000 0.2000 7.3239
Se S Nb
2 2 2
direct
0.2500 0.8542 0.2620
0.7500 0.1458 0.7380
0.7500 0.3558 0.2865
0.2500 0.6442 0.7135
0.2500 0.2582 0.5010
0.7500 0.7418 0.4990
```

Relative energy among the computed polymorphs = 37 meV per atom
Formation energy from raw total energies = -20.9 kcal/mol of atoms
Spin magnetization = 0.000 μB per atom
Space-group type = P2_1/m
DOS(E_F) = 4.5 states/eV/cell

What are the calculated volume values for these records? In order: 27.00; 20.91; 24.37 Å³ per atom.